The following is a PBE calculation of a relaxed structure of NpZn2InO8, from the Alexandria database.

abc: 6.684 6.684 7.078
angles: 90.00 90.00 90.00
Space group I-4m2 (No. 119)
Symmetry-distinct sites (fractional):
Np 0.000 0.000 0.000
Zn 0.000 0.000 0.500
Zn 0.000 0.500 0.250
In 0.000 0.500 0.750
O 0.000 0.185 0.708
O 0.000 0.293 0.054

Summary:
- total moment (μB per formula unit) = 2.00
- uncorrected energy (eV for the cell shown) = -149.74
- volume (Å³ per atom) = 13.2
- density of states at the Fermi level (states/eV/f.u.) = 7.085
- uncorrected formation energy (eV per atom) = -1.415

=====

The following is a PBE calculation of a relaxed structure of NpInP2, from the Alexandria database.

abc: 4.0559 4.0559 18.6418
angles: 90.00 90.00 120.00
Space group R3m (No. 160, hexagonal axes)
Symmetry-distinct sites (fractional):
Np 0.0000 0.0000 0.0000
In 0.0000 0.0000 0.1738
P 0.0000 0.0000 0.4067
P 0.0000 0.0000 0.5889

Summary:
- total moment (μB per formula unit) = 3.62
- uncorrected energy (eV for the cell shown) = -83.22
- formation energy (eV/atom) = -0.311
- volume (Å³ per atom) = 22.1
- E above lowest polymorph (eV/atom) = 0.0517
- density of states at the Fermi level (states/eV/f.u.) = 8.075

=====

The following is a PBE calculation of a relaxed structure of NpInP2, from the Alexandria database.

abc: 4.0894 4.0894 17.9694
angles: 90.00 90.00 120.00
Space group R-3m (No. 166, hexagonal axes)
Symmetry-distinct sites (fractional):
Np 0.0000 0.0000 0.0000
In 0.0000 0.0000 0.5000
P 0.0000 0.0000 0.2532

Summary:
- total moment (μB per formula unit) = 3.98
- uncorrected energy (eV for the cell shown) = -83.16
- formation energy (eV/atom) = -0.305
- volume (Å³ per atom) = 21.7
- E above lowest polymorph (eV/atom) = 0.0567
- density of states at the Fermi level (states/eV/f.u.) = 7.537

=====

The following is a PBE calculation of a relaxed structure of NpInP2, from the Alexandria database.

abc: 4.569 4.569 3.598
angles: 90.00 90.00 90.00
Space group P4/mmm (No. 123)
Symmetry-distinct sites (fractional):
Np 0.000 0.000 0.000
In 0.500 0.500 0.000
P 0.000 0.500 0.500

Summary:
- total moment (μB per formula unit) = 3.07
- uncorrected energy (eV for the cell shown) = -27.95
- formation energy (eV/atom) = -0.362
- volume (Å³ per atom) = 18.8
- E above lowest polymorph (eV/atom) = 0.0000
- density of states at the Fermi level (states/eV/f.u.) = 8.034

=====

The following is a PBE calculation of a relaxed structure of NpIn2P2Pd7, from the Alexandria database.

abc: 5.739 5.723 13.745
angles: 90.00 101.36 90.00
Space group C2/m (No. 12)
Symmetry-distinct sites (fractional):
Np 0.000 0.000 0.000
In 0.229 0.500 0.619
P 0.128 0.500 0.258
Pd 0.000 0.500 0.000
Pd 0.174 0.252 0.837
Pd 0.205 0.000 0.574

Summary:
- total moment (μB per formula unit) = 3.54
- uncorrected energy (eV for the cell shown) = -139.57
- formation energy (eV/atom) = -0.350
- volume (Å³ per atom) = 18.4
- density of states at the Fermi level (states/eV/f.u.) = 13.027

=====

The following is a PBE calculation of a relaxed structure of NpIn2P2Pt7, from the Alexandria database.

abc: 5.582 5.583 15.469
angles: 90.00 100.21 90.00
Space group C2/m (No. 12)
Symmetry-distinct sites (fractional):
Np 0.000 0.000 0.000
In 0.213 0.000 0.427
P 0.118 0.500 0.239
Pt 0.000 0.500 0.000
Pt 0.176 0.250 0.849
Pt 0.194 0.500 0.388

Summary:
- total moment (μB per formula unit) = 3.38
- uncorrected energy (eV for the cell shown) = -154.59
- formation energy (eV/atom) = -0.481
- volume (Å³ per atom) = 19.8
- density of states at the Fermi level (states/eV/f.u.) = 12.611

=====

The following is a PBE calculation of a relaxed structure of Np2InPb, from the Alexandria database.

abc: 4.580 4.580 4.911
angles: 90.00 90.00 90.00
Space group P4/mmm (No. 123)
Symmetry-distinct sites (fractional):
Np 0.000 0.500 0.000
In 0.000 0.000 0.500
Pb 0.500 0.500 0.500

Summary:
- total moment (μB per formula unit) = 9.16
- uncorrected energy (eV for the cell shown) = -31.44
- formation energy (eV/atom) = 0.221
- volume (Å³ per atom) = 25.7
- density of states at the Fermi level (states/eV/f.u.) = 12.147

=====

The following is a PBE calculation of a relaxed structure of NpInPb2S5, from the Alexandria database.

abc: 4.063 17.524 12.993
angles: 90.00 90.00 90.00
Space group Cmc2_1 (No. 36)
Symmetry-distinct sites (fractional):
Np 0.000 0.209 0.000
In 0.000 0.457 0.417
Pb 0.000 0.118 0.641
Pb 0.000 0.132 0.283
S 0.000 0.047 0.030
S 0.000 0.286 0.641
S 0.000 0.314 0.359
S 0.000 0.365 0.989
S 0.000 0.484 0.747

Summary:
- total moment (μB per formula unit) = 3.98
- uncorrected energy (eV for the cell shown) = -201.13
- volume (Å³ per atom) = 25.7
- density of states at the Fermi level (states/eV/f.u.) = 10.849
- uncorrected formation energy (eV per atom) = -0.728

=====

The following is a PBE calculation of a relaxed structure of NpInPb2Se5, from the Alexandria database.

abc: 4.206 18.673 13.389
angles: 90.00 90.00 90.00
Space group Cmc2_1 (No. 36)
Symmetry-distinct sites (fractional):
Np 0.000 0.203 0.000
In 0.000 0.452 0.413
Pb 0.000 0.126 0.292
Pb 0.000 0.133 0.642
Se 0.000 0.043 0.032
Se 0.000 0.291 0.648
Se 0.000 0.314 0.351
Se 0.000 0.357 0.989
Se 0.000 0.483 0.745

Summary:
- total moment (μB per formula unit) = 3.98
- uncorrected energy (eV for the cell shown) = -186.33
- volume (Å³ per atom) = 29.2
- density of states at the Fermi level (states/eV/f.u.) = 9.909
- uncorrected formation energy (eV per atom) = -0.674

=====

The following is a PBE calculation of a relaxed structure of NpIn2Te4Pb, from the Alexandria database.

abc: 7.925 4.504 8.204
angles: 90.00 108.27 90.00
Space group P2/m (No. 10)
Symmetry-distinct sites (fractional):
Np 0.000 0.000 0.000
In 0.000 0.500 0.500
In 0.500 0.000 0.500
Te 0.226 0.500 0.228
Te 0.235 0.000 0.762
Pb 0.500 0.500 0.000

Summary:
- total moment (μB per formula unit) = 3.37
- uncorrected energy (eV for the cell shown) = -37.87
- volume (Å³ per atom) = 34.8
- density of states at the Fermi level (states/eV/f.u.) = 8.868
- uncorrected formation energy (eV per atom) = -0.398

=====

The following is a PBE calculation of a relaxed structure of Np2In8Pd, from the Alexandria database.

abc: 4.676 4.676 12.213
angles: 90.00 90.00 90.00
Space group P4/mmm (No. 123)
Symmetry-distinct sites (fractional):
Np 0.000 0.000 0.190
In 0.000 0.500 0.000
In 0.000 0.500 0.373
In 0.500 0.500 0.189
Pd 0.000 0.000 0.500

Summary:
- total moment (μB per formula unit) = 8.64
- uncorrected energy (eV for the cell shown) = -54.35
- formation energy (eV/atom) = -0.124
- volume (Å³ per atom) = 24.3
- density of states at the Fermi level (states/eV/f.u.) = 24.331